{
  "formula": "MnSO4",
  "functional": "PBE+U",
  "state": "optimized geometry",
  "energy_ev_per_atom": -6.043,
  "spacegroup": "P2_1/c",
  "cell": [[-1.342, 2.267, -1.920], [-3.275, -3.530, -1.878], [-6.103, 1.742, 6.324]],
  "species": ["S", "O", "O", "Mn", "S", "O", "O", "Mn", "O", "O", "O", "O"],
  "fractional_positions": [[0.000, 0.000, 0.000], [0.693, 0.141, 0.886], [0.531, 0.241, 0.408], [0.000, 0.000, 0.500], [0.500, 0.500, 0.500], [0.807, 0.641, 0.386], [0.969, 0.741, 0.908], [0.500, 0.500, 0.000], [0.307, 0.859, 0.114], [0.031, 0.259, 0.092], [0.193, 0.359, 0.614], [0.469, 0.759, 0.592]]
}



{
  "formula": "Mn2SO",
  "functional": "PBE+U",
  "state": "optimized geometry",
  "spacegroup": "I-42d",
  "de_polymorph_ev_per_atom": 0.000,
  "cell": [[5.332, 0.000, 0.000], [0.000, 5.332, 0.000], [2.666, 2.666, 5.155]],
  "species": ["S", "Mn", "O", "O", "Mn", "Mn", "S", "Mn"],
  "fractional_positions": [[0.750, 0.250, 0.500], [0.875, 0.816, 0.750], [0.500, 0.500, 0.000], [0.250, 0.750, 0.500], [0.184, 0.625, 0.250], [0.566, 0.125, 0.250], [0.000, 0.000, 0.000], [0.375, 0.434, 0.750]]
}



{
  "formula": "Mn2SO6",
  "functional": "PBE+U",
  "state": "optimized geometry",
  "energy_ev_per_atom": -6.527,
  "spacegroup": "P4_2/mnm",
  "cell": [[4.597, 0.000, 0.000], [0.000, 4.597, 0.000], [0.000, 0.000, 8.452]],
  "species": ["Mn", "O", "S", "O", "O", "Mn", "Mn", "O", "O", "Mn", "O", "O", "O", "O", "S", "O", "O", "O"],
  "fractional_positions": [[0.500, 0.500, 0.668], [0.172, 0.828, 0.643], [0.000, 0.000, 0.500], [0.172, 0.828, 0.357], [0.672, 0.672, 0.857], [0.000, 0.000, 0.168], [0.000, 0.000, 0.832], [0.328, 0.328, 0.857], [0.219, 0.781, 0.000], [0.500, 0.500, 0.332], [0.719, 0.719, 0.500], [0.828, 0.172, 0.357], [0.281, 0.281, 0.500], [0.328, 0.328, 0.143], [0.500, 0.500, 0.000], [0.781, 0.219, 0.000], [0.828, 0.172, 0.643], [0.672, 0.672, 0.143]]
}



Number 1: spin magnetization 0.826 μB per atom. Number 2: spin magnetization 2.500 μB per atom. Number 3: spin magnetization 0.888 μB per atom.